1.
The following is a PBE-GGA calculation of an optimized crystal structure of AsPdBrF2, from the Alexandria database.

## Properties
For the volume, the calculation gives 95.0 Å³/cell. The formation energy (no corrections) comes out at 65 meV per atom. For the total moment, the calculation gives 0.00 μB/f.u.

Cell lengths 4.126, 4.126, 5.577 Å; angles 90.00, 90.00, 90.00 degrees
Sites, in units of the cell vectors:
1 As 0.000 0.000 0.000
2 Pd 0.500 0.500 0.000
3 Br 0.000 0.000 0.500
4 F 0.000 0.500 0.500
5 F 0.500 0.000 0.500

=====

2.
The following is a PBE-GGA calculation of an optimized crystal structure of Ac3InPd2, from the Alexandria database.

## Properties
The formation energy is -0.5900 eV per atom. For the volume, the calculation gives 178.6 Å³/cell. For the total moment, the calculation gives 0.00 μB/f.u.

Cell lengths 8.550, 8.550, 3.925 Å; angles 90.00, 90.00, 141.49 degrees
Sites, in units of the cell vectors:
1 Ac 0.000 0.000 0.000
2 Ac 0.321 0.679 0.000
3 Ac 0.679 0.321 0.000
4 In 0.500 0.500 0.500
5 Pd 0.155 0.845 0.500
6 Pd 0.845 0.155 0.500

=====

3.
The following is a PBE-GGA calculation of an optimized crystal structure of MgScTc2, from the Alexandria database.

## Properties
The formation energy is -0.0066 eV per atom. For the volume, the calculation gives 69.3 Å³/cell. For the total moment, the calculation gives 0.00 μB/f.u.

Cell lengths 5.437, 5.437, 5.437 Å; angles 145.47, 129.76, 62.39 degrees
Sites, in units of the cell vectors:
1 Mg 0.000 0.000 0.000
2 Sc 0.281 0.781 0.500
3 Tc 0.541 0.541 0.000
4 Tc 0.742 0.242 0.500

=====

4.
The following is a PBE-GGA calculation of an optimized crystal structure of In3H2Br2, from the Alexandria database.

## Properties
For the total energy, the calculation gives -2.686 eV per atom. For the volume, the calculation gives 175.3 Å³/cell. For the total moment, the calculation gives 0.00 μB/f.u.

Cell lengths 3.717, 3.717, 13.340 Å; angles 98.60, 98.60, 75.62 degrees
Sites, in units of the cell vectors:
1 In 0.000 0.000 0.000
2 In 0.102 0.102 0.628
3 In 0.898 0.898 0.372
4 H 0.284 0.284 0.965
5 H 0.716 0.716 0.035
6 Br 0.236 0.236 0.220
7 Br 0.764 0.764 0.780

=====

5.
The following is a PBE-GGA calculation of an optimized crystal structure of AcUN3, from the Alexandria database.

## Properties
For the volume, the calculation gives 80.7 Å³/cell. The formation energy (no corrections) comes out at -1374 meV per atom. For the total moment, the calculation gives 0.00 μB/f.u.

Cell lengths 4.322, 4.322, 4.322 Å; angles 90.00, 90.00, 90.00 degrees
Sites, in units of the cell vectors:
1 Ac 0.000 0.000 0.000
2 U 0.500 0.500 0.500
3 N 0.000 0.500 0.500
4 N 0.500 0.000 0.500
5 N 0.500 0.500 0.000

=====

6.
The following is a PBE-GGA calculation of an optimized crystal structure of ReHgAs, from the Alexandria database.

## Properties
The formation energy is 0.3365 eV per atom. For the volume, the calculation gives 57.6 Å³/cell. For the total moment, the calculation gives 0.00 μB/f.u. The calculation puts the offset from the most stable computed form at 0.0 meV/atom.

Cell lengths 3.056, 3.056, 7.119 Å; angles 90.00, 90.00, 120.00 degrees
Sites, in units of the cell vectors:
1 Re 0.000 0.000 0.000
2 Hg 0.667 0.333 0.660
3 As 0.333 0.667 0.246

=====

7.
The following is a PBE-GGA calculation of an optimized crystal structure of LaMn2Ru, from the Alexandria database.

## Properties
The formation energy is 0.5732 eV per atom. For the volume, the calculation gives 170.0 Å³/cell. For the total moment, the calculation gives 3.73 μB/f.u.

Cell lengths 9.130, 9.130, 9.130 Å; angles 151.77, 151.77, 40.35 degrees
Sites, in units of the cell vectors:
1 La 0.375 0.625 0.750
2 La 0.625 0.375 0.250
3 Mn 0.000 0.000 0.000
4 Mn 0.000 0.000 0.500
5 Mn 0.000 0.500 0.000
6 Mn 0.500 0.000 0.500
7 Ru 0.125 0.875 0.250
8 Ru 0.875 0.125 0.750

=====

8.
The following is a PBE-GGA calculation of an optimized crystal structure of MgBeH4, from the Alexandria database.

## Properties
For the volume, the calculation gives 98.4 Å³/cell. For the total moment, the calculation gives 0.00 μB/f.u. The calculation puts the offset from the most stable computed form at 0.0 meV/atom.

Cell lengths 5.062, 5.062, 5.062 Å; angles 105.68, 105.68, 117.35 degrees
Sites, in units of the cell vectors:
1 Mg 0.375 0.625 0.750
2 Mg 0.625 0.375 0.250
3 Be 0.125 0.875 0.250
4 Be 0.875 0.125 0.750
5 H 0.136 0.704 0.432
6 H 0.228 0.296 0.932
7 H 0.296 0.228 0.432
8 H 0.296 0.864 0.068
9 H 0.704 0.136 0.932
10 H 0.704 0.772 0.568
11 H 0.772 0.704 0.068
12 H 0.864 0.296 0.568

=====

9.
The following is a PBE-GGA calculation of an optimized crystal structure of LiPrNdO2, from the Alexandria database.

## Properties
For the volume, the calculation gives 98.5 Å³/cell. The formation energy (no corrections) comes out at -2010 meV per atom. For the total moment, the calculation gives 0.00 μB/f.u. The calculation puts the offset from the most stable computed form at 0.0 meV/atom.

Cell lengths 9.304, 9.304, 9.304 Å; angles 21.93, 21.93, 21.93 degrees
Sites, in units of the cell vectors:
1 Li 0.000 0.000 0.000
2 Pr 0.132 0.132 0.132
3 Nd 0.574 0.574 0.574
4 O 0.289 0.289 0.289
5 O 0.859 0.859 0.859

=====

10.
The following is a PBE-GGA calculation of an optimized crystal structure of AlBi2Se, from the Alexandria database.

## Properties
For the volume, the calculation gives 291.0 Å³/cell. The formation energy (no corrections) comes out at 202 meV per atom. For the total moment, the calculation gives 0.00 μB/f.u. The calculation puts the offset from the most stable computed form at 4.4 meV/atom.

Cell lengths 8.700, 8.700, 8.700 Å; angles 138.06, 138.06, 60.81 degrees
Sites, in units of the cell vectors:
1 Al 0.000 0.000 0.000
2 Al 0.750 0.250 0.500
3 Bi 0.116 0.625 0.991
4 Bi 0.375 0.366 0.491
5 Bi 0.634 0.125 0.009
6 Bi 0.875 0.884 0.509
7 Se 0.250 0.750 0.500
8 Se 0.500 0.500 0.000

=====

11.
The following is a PBE-GGA calculation of an optimized crystal structure of Li2TlAg3Br6, from the Alexandria database.

## Properties
For the volume, the calculation gives 327.1 Å³/cell. The formation energy (no corrections) comes out at -776 meV per atom. For the total moment, the calculation gives 0.00 μB/f.u.

Cell lengths 9.641, 9.641, 8.857 Å; angles 105.12, 105.12, 24.34 degrees
Sites, in units of the cell vectors:
1 Li 0.195 0.195 0.340
2 Li 0.805 0.805 0.660
3 Tl 0.500 0.500 0.000
4 Ag 0.173 0.173 0.794
5 Ag 0.500 0.500 0.500
6 Ag 0.827 0.827 0.206
7 Br 0.028 0.028 0.733
8 Br 0.318 0.318 0.881
9 Br 0.336 0.336 0.474
10 Br 0.664 0.664 0.526
11 Br 0.682 0.682 0.119
12 Br 0.972 0.972 0.267

=====

12.
The following is a PBE-GGA calculation of an optimized crystal structure of Cd2CoSb, from the Alexandria database.

## Properties
For the volume, the calculation gives 80.4 Å³/cell. The formation energy (no corrections) comes out at 424 meV per atom. For the total moment, the calculation gives 1.26 μB/f.u.

Cell lengths 4.845, 4.845, 4.845 Å; angles 60.00, 60.00, 60.00 degrees
Sites, in units of the cell vectors:
1 Cd 0.000 0.000 0.000
2 Cd 0.250 0.250 0.250
3 Co 0.750 0.750 0.750
4 Sb 0.500 0.500 0.500